1.
Material: Tm2ThRe
Method: DFT, GGA-PBE
State: relaxed

a = 3.2369 Å, b = 3.2369 Å, c = 33.4668 Å
α = 90.00°, β = 90.00°, γ = 120.00°
Last column: nearest neighbours and their distance in Å.
Space group R-3m (No. 166, hexagonal axes)
Inequivalent atoms, fractional coordinates:
Tm: 0.0000 0.0000 0.0794 (multiplicity 6)  1 Re 2.66
Th: 0.0000 0.0000 0.5000 (multiplicity 3)  6 Th 3.24, 6 Tm 3.47
Re: 0.0000 0.0000 0.0000 (multiplicity 3)  2 Tm 2.66

***

2.
Material: TmThRe4
Method: DFT, GGA-PBE
State: relaxed

a = 7.7414 Å, b = 7.7414 Å, c = 7.7414 Å
α = 90.00°, β = 90.00°, γ = 90.00°
Last column: nearest neighbours and their distance in Å.
Space group F-43m (No. 216)
Inequivalent atoms, fractional coordinates:
Tm: 0.0000 0.0000 0.0000 (multiplicity 4)  12 Re 3.21, 4 Th 3.35
Th: 0.2500 0.2500 0.7500 (multiplicity 4)  12 Re 3.21, 4 Tm 3.35
Re: 0.1253 0.1253 0.3747 (multiplicity 16)  6 Re 2.73-2.74

***

3.
Material: TmTh2Re
Method: DFT, GGA-PBE
State: relaxed

a = 3.8894 Å, b = 3.8894 Å, c = 30.9636 Å
α = 90.00°, β = 90.00°, γ = 120.00°
Last column: nearest neighbours and their distance in Å.
Space group R-3m (No. 166, hexagonal axes)
Inequivalent atoms, fractional coordinates:
Tm: 0.0000 0.0000 0.0000 (multiplicity 3)  2 Th 3.48, 6 Tm 3.89
Th: 0.0000 0.0000 0.1125 (multiplicity 6)  3 Re 2.80
Re: 0.0000 0.0000 0.5000 (multiplicity 3)  6 Th 2.80

Computed properties:
**ΔE to the lowest computed polymorph**: 0.399 eV/atom

***

4.
Material: TmTh2Re
Method: DFT, GGA-PBE
State: relaxed

a = 3.5423 Å, b = 3.5423 Å, c = 8.6501 Å
α = 90.00°, β = 90.00°, γ = 90.00°
Last column: nearest neighbours and their distance in Å.
Space group P4/mmm (No. 123)
Inequivalent atoms, fractional coordinates:
Tm: 0.0000 0.0000 0.0000 (multiplicity 1)  4 Tm 3.54, 8 Th 3.56
Th: 0.5000 0.5000 0.2931 (multiplicity 2)  4 Re 3.08
Re: 0.0000 0.0000 0.5000 (multiplicity 1)  8 Th 3.08

Computed properties:
**ΔE to the lowest computed polymorph**: 0.000 eV/atom

***

Number 1: uncorrected energy -6.44 eV per atom, spin magnetization 0.131 μB/f.u., formation energy from the elements 762.0 meV per atom. Number 2: uncorrected energy -10.38 eV per atom, spin magnetization 0.000 μB/f.u., formation energy from the elements -103.7 meV per atom. Number 3: uncorrected energy -7.41 eV per atom, spin magnetization 0.000 μB/f.u., formation energy from the elements 530.4 meV per atom. Number 4: uncorrected energy -7.81 eV per atom, spin magnetization 0.000 μB/f.u., formation energy from the elements 131.8 meV per atom.